1.
Density functional theory data (GGA-PBE) for crystalline LuPa2 at its relaxed geometry.

Geometry as POSCAR:
```
LuPa2
1.0
-0.481 5.270 -3.060
-2.471 0.074 -5.591
-5.494 2.532 -0.881
Pa Lu
4 2
Direct
0.625 0.125 0.625
0.625 0.625 0.125
0.125 0.625 0.625
0.625 0.625 0.625
0.250 0.250 0.250
0.000 0.000 0.000
```

Summary:
The formation energy is 5.4 kcal/mol of atoms.

2.
Density functional theory data (GGA-PBE) for crystalline Ac5NiSn2 at its relaxed geometry.

Geometry as POSCAR:
```
Ac5NiSn2
1.0
6.257 0.000 0.000
-3.129 5.399 0.000
0.000 0.000 17.079
Ac Sn Ni
10 4 2
Direct
0.586 0.172 0.611
0.086 0.171 0.111
0.750 0.499 0.250
0.586 0.172 0.889
0.414 0.828 0.111
0.414 0.828 0.389
0.914 0.829 0.611
0.086 0.171 0.389
0.914 0.829 0.889
0.250 0.501 0.750
0.250 0.500 0.941
0.250 0.500 0.559
0.750 0.500 0.441
0.750 0.500 0.059
0.750 0.501 0.750
0.250 0.499 0.250
```

Summary:
The formation energy is -6.4 kcal/mol of atoms.

3.
Density functional theory data (GGA-PBE) for crystalline Er6BiSb3As2 at its relaxed geometry.

Geometry as POSCAR:
```
Er6BiSb3As2
1.0
4.265 0.000 0.000
0.000 8.580 0.317
-2.132 -2.459 8.989
Sb As Er Bi
3 2 6 1
Direct
0.837 0.168 0.674
0.163 0.832 0.326
0.500 0.500 0.000
0.169 0.336 0.337
0.831 0.664 0.663
0.671 0.099 0.343
0.008 0.259 0.015
0.329 0.425 0.657
0.329 0.901 0.657
0.671 0.575 0.343
0.992 0.741 0.985
0.500 0.000 0.000
```

Summary:
The raw total energy comes out at -5.574 eV/atom.

4.
Density functional theory data (GGA-PBE) for crystalline Li2LaBO4 at its relaxed geometry.

Geometry as POSCAR:
```
Li2LaBO4
1.0
-0.276 -3.132 -1.209
5.511 1.324 0.006
0.827 -3.487 8.849
B Li O La
2 4 8 2
Direct
0.772 0.544 0.750
0.228 0.456 0.250
0.625 0.250 0.458
0.375 0.750 0.958
0.375 0.750 0.542
0.625 0.250 0.042
0.721 0.442 0.875
0.000 0.000 0.500
0.279 0.558 0.375
0.000 0.000 0.000
0.721 0.442 0.625
0.394 0.788 0.750
0.606 0.212 0.250
0.279 0.558 0.125
0.051 0.102 0.750
0.949 0.898 0.250
```

Summary:
The raw total energy comes out at -6.756 eV/atom.

5.
Density functional theory data (GGA-PBE) for crystalline Ti4GaP at its relaxed geometry.

Geometry as POSCAR:
```
Ti4GaP
1.0
-3.097 3.372 3.850
3.302 -2.133 4.525
3.956 4.337 -0.843
Ti P Ga
8 2 2
Direct
0.657 0.649 0.627
0.378 0.868 0.148
0.878 0.632 0.148
0.622 0.132 0.852
0.122 0.368 0.852
0.843 0.149 0.373
0.343 0.351 0.373
0.157 0.851 0.627
0.500 0.000 0.500
0.000 0.500 0.500
0.000 0.000 0.000
0.500 0.500 0.000
```

Summary:
The formation energy is -6.8 kcal/mol of atoms.

6.
Density functional theory data (GGA-PBE) for crystalline Pd2Pt2Au3 at its relaxed geometry.

Geometry as POSCAR:
```
Pd2Pt2Au3
1.0
-0.786 2.700 -0.445
-2.676 -1.339 5.661
6.657 2.082 0.750
Pd Au Pt
2 3 2
Direct
0.858 0.715 0.568
0.142 0.285 0.432
0.718 0.436 0.151
0.000 0.000 0.000
0.282 0.564 0.849
0.567 0.133 0.708
0.433 0.867 0.292
```

Summary:
The formation energy is 0.0 kcal/mol of atoms.

7.
Density functional theory data (GGA-PBE) for crystalline BaMg2W at its relaxed geometry.

Geometry as POSCAR:
```
BaMg2W
1.0
-4.575 -1.012 2.352
-1.908 3.335 3.568
-4.221 2.902 -1.117
Mg Ba W
2 1 1
Direct
0.750 0.750 0.750
0.250 0.250 0.250
0.000 0.000 0.000
0.500 0.500 0.500
```

Summary:
The formation energy is 21.9 kcal/mol of atoms.

8.
Density functional theory data (GGA-PBE) for crystalline CrCoGe2 at its relaxed geometry.

Geometry as POSCAR:
```
CrCoGe2
1.0
0.000 2.945 2.945
2.945 0.000 2.945
2.945 2.945 0.000
Cr Ge Co
1 2 1
Direct
0.000 0.000 0.000
0.250 0.250 0.250
0.750 0.750 0.750
0.500 0.500 0.500
```

Summary:
The formation energy is 2.1 kcal/mol of atoms.

9.
Density functional theory data (GGA-PBE) for crystalline K2PtAu at its relaxed geometry.

Geometry as POSCAR:
```
K2PtAu
1.0
5.609 0.000 0.000
0.000 6.299 0.524
0.000 -1.801 6.058
Pt K Au
2 4 2
Direct
0.500 0.500 0.500
0.000 0.500 0.500
0.250 0.342 0.978
0.750 0.022 0.658
0.750 0.658 0.022
0.250 0.978 0.342
0.750 0.205 0.205
0.250 0.795 0.795
```

Summary:
The formation energy is -3.6 kcal/mol of atoms.

10.
Density functional theory data (GGA-PBE) for crystalline TeC3 at its relaxed geometry.

Geometry as POSCAR:
```
TeC3
1.0
-3.218 -2.655 -0.774
2.647 -3.301 0.317
-0.800 -0.242 4.160
C Te
3 1
Direct
0.000 0.000 0.500
0.500 0.000 0.000
0.000 0.500 0.000
0.000 0.000 0.000
```

Summary:
The raw total energy comes out at -3.747 eV/atom.

11.
Density functional theory data (GGA-PBE) for crystalline NdScAgIr at its relaxed geometry.

Geometry as POSCAR:
```
NdScAgIr
1.0
-1.960 3.417 2.977
-4.409 -0.776 2.081
-0.324 -0.847 4.853
Ag Nd Sc Ir
1 1 1 1
Direct
0.250 0.250 0.250
0.000 0.000 0.000
0.500 0.500 0.500
0.750 0.750 0.750
```

Summary:
The formation energy is -10.7 kcal/mol of atoms.

12.
Density functional theory data (GGA-PBE) for crystalline RbAcAu4 at its relaxed geometry.

Geometry as POSCAR:
```
RbAcAu4
1.0
5.948 0.000 0.000
2.974 5.151 0.000
2.974 1.717 4.857
Au Ac Rb
4 1 1
Direct
0.625 0.124 0.625
0.625 0.625 0.625
0.625 0.625 0.124
0.124 0.625 0.625
0.250 0.250 0.250
0.000 0.000 0.000
```

Summary:
The formation energy is -7.3 kcal/mol of atoms.

13.
Density functional theory data (GGA-PBE) for crystalline CrCo8H4 at its relaxed geometry.

Geometry as POSCAR:
```
CrCo8H4
1.0
2.493 0.000 0.540
1.111 6.200 0.896
-0.163 0.099 6.779
Co Cr H
8 1 4
Direct
0.177 0.000 0.646
0.887 0.666 0.560
0.144 0.338 0.374
0.216 0.676 0.891
0.815 0.327 0.042
0.479 0.332 0.709
0.552 0.671 0.225
0.854 0.003 0.288
0.516 0.002 0.967
0.181 0.504 0.133
0.850 0.499 0.801
0.666 0.164 0.505
0.366 0.839 0.429
```

Summary:
The raw total energy comes out at -6.114 eV/atom.

14.
Density functional theory data (GGA-PBE) for crystalline Pr2DyEr at its relaxed geometry.

Geometry as POSCAR:
```
Pr2DyEr
1.0
-3.059 -3.904 0.902
3.937 -3.247 -0.701
1.124 0.279 5.019
Er Dy Pr
1 1 2
Direct
0.500 0.000 0.000
0.500 0.500 0.500
0.000 0.000 0.500
0.000 0.500 0.000
```

Summary:
The formation energy is 0.5 kcal/mol of atoms.

15.
Density functional theory data (GGA-PBE) for crystalline TiNi2Ag at its relaxed geometry.

Geometry as POSCAR:
```
TiNi2Ag
1.0
-1.648 2.191 -1.320
-2.200 -2.014 -0.597
-2.581 1.248 5.295
Ni Ti Ag
2 1 1
Direct
0.000 0.000 0.778
0.000 0.000 0.222
0.500 0.500 0.000
0.500 0.500 0.500
```

Summary:
The formation energy is -4.1 kcal/mol of atoms.

16.
Density functional theory data (GGA-PBE) for crystalline AlTcIr2 at its relaxed geometry.

Geometry as POSCAR:
```
AlTcIr2
1.0
-2.058 -3.133 -0.400
0.333 -0.709 3.841
-3.267 2.061 0.664
Ir Al Tc
2 1 1
Direct
0.000 0.500 0.500
0.000 0.000 0.000
0.500 0.000 0.500
0.500 0.500 0.000
```

Summary:
The formation energy is -5.0 kcal/mol of atoms.

17.
Density functional theory data (GGA-PBE) for crystalline Er2HfRh at its relaxed geometry.

Geometry as POSCAR:
```
Er2HfRh
1.0
3.422 0.000 0.000
0.000 3.422 0.000
0.000 0.000 7.816
Hf Er Rh
1 2 1
Direct
0.500 0.500 0.500
0.000 0.000 0.211
0.000 0.000 0.789
0.500 0.500 0.000
```

Summary:
The formation energy is -8.0 kcal/mol of atoms.

18.
Density functional theory data (GGA-PBE) for crystalline CeNdTm2 at its relaxed geometry.

Geometry as POSCAR:
```
CeNdTm2
1.0
5.651 0.000 0.000
2.826 4.894 0.000
2.826 1.631 4.614
Tm Ce Nd
2 1 1
Direct
0.250 0.250 0.250
0.750 0.750 0.750
0.000 0.000 0.000
0.500 0.500 0.500
```

Summary:
The formation energy is 3.3 kcal/mol of atoms.

19.
Density functional theory data (GGA-PBE) for crystalline MgTiF4 at its relaxed geometry.

Geometry as POSCAR:
```
MgTiF4
1.0
3.595 0.000 0.000
0.000 3.595 0.000
0.000 0.000 5.115
Ti F Mg
1 4 1
Direct
0.500 0.500 0.000
0.500 0.000 0.258
0.000 0.500 0.258
0.000 0.500 0.742
0.500 0.000 0.742
0.000 0.000 0.500
```

Summary:
The raw total energy comes out at -5.882 eV/atom.

20.
Density functional theory data (GGA-PBE) for crystalline CrGeW at its relaxed geometry.

Geometry as POSCAR:
```
CrGeW
1.0
-1.948 -1.913 -0.056
2.322 -2.284 -2.746
0.465 -0.596 4.193
Cr W Ge
1 1 1
Direct
0.571 0.333 0.667
0.940 0.000 0.000
0.489 0.667 0.333
```

Summary:
The formation energy is 5.1 kcal/mol of atoms.

Taking the records one at a time from the top gives magnetization values of 0.0, 0.0, 0.0, 0.0, 0.5, 0.0, 1.9, 0.4, 0.0, 0.0, 0.0, 0.0, 9.0, 0.0, 0.0, 0.0, 0.0, 0.6, 2.0, 0.0 μB per formula unit.